(1)
# LiWSe2

A geometry-optimized LiWSe2 structure (PBE, Alexandria via LeMat-Bulk).

Cell: 4.9699 4.9699 3.3249 Å, 90.00 90.00 90.00°
Last column: nearest neighbours and their distance in Å.
Space group P4/mmm (No. 123)
Unique sites:
Li: 0.0000 0.0000 0.0000 x1  4 Se 2.48
W: 0.5000 0.5000 0.0000 x1  4 Se 2.48
Se: 0.0000 0.5000 0.0000 x2  2 W 2.48, 2 Li 2.48

Summary:
Calculated volume = 82.12 Å³ per cell
ΔE to the lowest computed polymorph = 405 meV per atom

(2)
# LiY6Se8

A geometry-optimized LiY6Se8 structure (PBE, Alexandria via LeMat-Bulk).

Cell: 11.4837 11.4837 11.4837 Å, 90.00 90.00 90.00°
Last column: nearest neighbours and their distance in Å.
Space group Fm-3m (No. 225)
Unique sites:
Li: 0.0000 0.0000 0.0000 x4  6 Se 2.83
Y: 0.0000 0.2500 0.2500 x24  6 Se 2.87
Se: 0.0000 0.0000 0.2468 x24  1 Li 2.83, 4 Y 2.87
Se: 0.2500 0.2500 0.2500 x8  6 Y 2.87

Summary:
E_tot = -382.53 eV for the cell shown
Calculated volume = 1514.42 Å³ per cell

(3)
# Li2YSe

A geometry-optimized Li2YSe structure (PBE, Alexandria via LeMat-Bulk).

Cell: 3.9267 4.4392 5.0101 Å, 90.00 102.24 90.00°
Last column: nearest neighbours and their distance in Å.
Space group P2/m (No. 10)
Unique sites:
Li: 0.1183 0.0000 0.2870 x2  1 Li 2.50, 2 Se 2.55
Y: 0.5000 0.5000 0.0000 x1  2 Se 2.84
Se: 0.0000 0.5000 0.5000 x1  4 Li 2.55, 2 Y 2.84

Summary:
E_tot = -16.55 eV for the cell shown
Calculated volume = 85.35 Å³ per cell